Crystalline Sm2VFeO6 at its relaxed geometry. Source: Alexandria, functional GGA+U.

The structure in extended XYZ format:
```
20
Lattice="5.4163 0.0000 0.0000 0.0000 5.8039 0.0000 -5.3616 0.0000 7.7449" Properties=species:S:1:pos:R:3 pbc="T T T"
Sm -0.0816 0.4185 1.9407
Sm -2.7624 2.4835 5.8131
Sm 2.8171 3.3204 1.9318
Sm 0.1362 5.3855 5.8043
V 2.7081 0.0000 0.0000
V 0.0273 2.9020 3.8725
Fe -2.6808 0.0000 3.8725
Fe 0.0000 2.9020 0.0000
O -4.2199 1.0178 7.3631
O -1.5391 1.8842 3.4906
O -3.6338 4.0966 7.3012
O -0.9530 4.6093 3.4287
O -2.0759 0.2170 5.8454
O 0.6049 2.6850 1.9729
O -0.5502 3.1189 5.7720
O 2.1306 5.5870 1.8996
O 1.0076 1.1946 4.3162
O 3.6885 1.7074 0.4437
O 1.5937 3.9197 4.2543
O 4.2745 4.7862 0.3818
```

Values from the calculation:
VASP energy	-7.895	eV/atom
spin magnetization	0.50	μB per atom
calculated volume	243.5	Å³/cell